Record 1
InAg2: PBEsol geometry, SCAN.

Values from the calculation:
- final energy (eV for the cell shown) = -384.567
- space group = Pnma
- total moment (μB per formula unit) = 0.00
- formation energy from the elements (meV/atom) = -7

a b c (Å): 4.208 5.879 8.795
angles (deg): 90.00 90.00 90.00
Fractional coordinates of all 12 atoms:
Ag  0.750  0.387  0.745
Ag  0.250  0.113  0.245
Ag  0.750  0.887  0.755
Ag  0.250  0.613  0.255
Ag  0.750  0.369  0.079
Ag  0.250  0.131  0.579
Ag  0.750  0.869  0.421
Ag  0.250  0.631  0.921
In  0.750  0.857  0.092
In  0.250  0.643  0.592
In  0.750  0.357  0.408
In  0.250  0.143  0.908

=====

Record 2
In2Co: PBEsol geometry, SCAN.

Values from the calculation:
- final energy (eV for the cell shown) = -166.451
- space group = P4_2/mnm
- total moment (μB per formula unit) = 0.00
- formation energy from the elements (meV/atom) = 284

a b c (Å): 2.983 6.476 6.476
angles (deg): 90.00 90.00 90.00
Fractional coordinates of all 6 atoms:
Co  0.000  0.000  0.000
Co  0.500  0.500  0.500
In  0.000  0.274  0.726
In  0.000  0.726  0.274
In  0.500  0.774  0.774
In  0.500  0.226  0.226

=====

Record 3
InSbTe2Br: PBEsol geometry, SCAN.

Values from the calculation:
- final energy (eV for the cell shown) = -161.884
- space group = P4/mmm
- total moment (μB per formula unit) = 0.00

a b c (Å): 5.512 5.512 5.677
angles (deg): 90.00 90.00 90.00
Fractional coordinates of all 5 atoms:
Sb  0.000  0.000  0.500
Te  0.000  0.500  0.000
Te  0.500  0.000  0.000
Br  0.500  0.500  0.500
In  0.000  0.000  0.000